1.
A plane-wave DFT calculation with PBE was carried out for a relaxed Hf2BI crystal.

Results
As for the uncorrected formation energy: 0.23 eV per atom.

a = 5.867 Å, b = 5.867 Å, c = 11.287 Å
α = 90.00°, β = 90.00°, γ = 90.00°
Space group I-42d (No. 122)
Asymmetric unit:
Hf (0.152, 0.250, 0.125)
B (0.000, 0.000, 0.000)
I (0.000, 0.000, 0.500)

2.
A plane-wave DFT calculation with PBE was carried out for a relaxed Pa2Cu2Ni3 crystal.

Results
As for the formation energy: -1.7 eV per formula unit.

a = 3.580 Å, b = 17.713 Å, c = 7.128 Å
α = 90.00°, β = 90.00°, γ = 90.00°
Space group Cmcm (No. 63)
Asymmetric unit:
Pa (0.000, 0.062, 0.250)
Pa (0.000, 0.152, 0.750)
Cu (0.000, 0.309, 0.562)
Ni (0.000, 0.240, 0.250)
Ni (0.000, 0.439, 0.068)

These records have uncorrected energy values of -108.83, -185.05 eV per cell, in the order they appear.